## K3Ge5O12 (GGA-PBE)

Data for a relaxed structure of K3Ge5O12. Values from VASP.

Quantum ESPRESSO input file:
```
&SYSTEM
  ibrav = 0, nat = 80, ntyp = 3
/
ATOMIC_SPECIES
K 39.10 K.upf
Ge 72.64 Ge.upf
O 16.00 O.upf
CELL_PARAMETERS angstrom
-6.318 6.318 6.318
6.318 -6.318 6.318
6.318 6.318 -6.318
ATOMIC_POSITIONS crystal
K 0.125 0.250 0.375
K 0.125 0.375 0.750
K 0.250 0.375 0.125
K 0.250 0.875 0.625
K 0.375 0.125 0.250
K 0.375 0.750 0.125
K 0.625 0.250 0.875
K 0.625 0.875 0.750
K 0.750 0.125 0.375
K 0.750 0.625 0.875
K 0.875 0.625 0.250
K 0.875 0.750 0.625
Ge 0.000 0.000 0.000
Ge 0.000 0.000 0.500
Ge 0.000 0.500 0.000
Ge 0.000 0.500 0.500
Ge 0.125 0.750 0.875
Ge 0.125 0.875 0.250
Ge 0.250 0.125 0.875
Ge 0.250 0.625 0.375
Ge 0.375 0.250 0.625
Ge 0.375 0.625 0.750
Ge 0.500 0.000 0.000
Ge 0.500 0.000 0.500
Ge 0.500 0.500 0.000
Ge 0.500 0.500 0.500
Ge 0.625 0.375 0.250
Ge 0.625 0.750 0.375
Ge 0.750 0.375 0.625
Ge 0.750 0.875 0.125
Ge 0.875 0.125 0.750
Ge 0.875 0.250 0.125
O 0.002 0.185 0.104
O 0.002 0.316 0.898
O 0.082 0.685 0.684
O 0.082 0.896 0.398
O 0.102 0.604 0.418
O 0.102 0.998 0.684
O 0.104 0.002 0.185
O 0.104 0.602 0.918
O 0.184 0.185 0.582
O 0.184 0.498 0.602
O 0.185 0.104 0.002
O 0.185 0.582 0.184
O 0.315 0.316 0.918
O 0.315 0.498 0.396
O 0.316 0.898 0.002
O 0.316 0.918 0.315
O 0.396 0.315 0.498
O 0.396 0.582 0.898
O 0.398 0.082 0.896
O 0.398 0.816 0.502
O 0.418 0.102 0.604
O 0.418 0.816 0.815
O 0.498 0.396 0.315
O 0.498 0.602 0.184
O 0.502 0.398 0.816
O 0.502 0.604 0.685
O 0.582 0.184 0.185
O 0.582 0.898 0.396
O 0.602 0.184 0.498
O 0.602 0.918 0.104
O 0.604 0.418 0.102
O 0.604 0.685 0.502
O 0.684 0.082 0.685
O 0.684 0.102 0.998
O 0.685 0.502 0.604
O 0.685 0.684 0.082
O 0.815 0.418 0.816
O 0.815 0.896 0.998
O 0.816 0.502 0.398
O 0.816 0.815 0.418
O 0.896 0.398 0.082
O 0.896 0.998 0.815
O 0.898 0.002 0.316
O 0.898 0.396 0.582
O 0.918 0.104 0.602
O 0.918 0.315 0.316
O 0.998 0.684 0.102
O 0.998 0.815 0.896
```

Calculated values
* energy relative to the elements, uncorrected: -29.8 eV/f.u.
* space-group type: No. 230